1.
Compound: Li2CuPt
Source: Alexandria via LeMat-Bulk
Functional: PBE-GGA
Structure: optimized geometry

Its formation energy is -0.30 eV/atom. For the total moment, the calculation gives 0.000 μB per atom. The calculation puts the offset from the most stable computed form at 0.327 eV/f.u.

The space group is P4/mmm (No. 123) and the conventional cell measures 2.7387, 2.7387 and 7.1693 Å, with angles of 90.00, 90.00 and 90.00 degrees. The asymmetric unit holds Li at (0.0000, 0.0000, 0.2458), Cu at (0.5000, 0.5000, 0.5000) and Pt at (0.5000, 0.5000, 0.0000).

=====

2.
Compound: Be5Pd4Rh
Source: Alexandria via LeMat-Bulk
Functional: PBE-GGA
Structure: optimized geometry

Its formation energy is -0.63 eV/atom. For the total moment, the calculation gives 0.000 μB per atom.

The space group is P4/mmm (No. 123) and the conventional cell measures 2.8251, 2.8251 and 14.0483 Å, with angles of 90.00, 90.00 and 90.00 degrees. The asymmetric unit holds Be at (0.0000, 0.0000, 0.0000), Be at (0.0000, 0.0000, 0.2030), Be at (0.0000, 0.0000, 0.4104), Pd at (0.5000, 0.5000, 0.1003), Pd at (0.5000, 0.5000, 0.3003) and Rh at (0.5000, 0.5000, 0.5000).

=====

3.
Compound: Pr8HPt3Br4
Source: Alexandria via LeMat-Bulk
Functional: PBE-GGA
Structure: optimized geometry

For the total moment, the calculation gives 0.000 μB per atom. The calculated total energy is -5.216 eV per atom.

The space group is R-3m (No. 166, hexagonal axes) and the conventional cell measures 8.3774, 8.3774 and 23.1547 Å, with angles of 90.00, 90.00 and 120.00 degrees. The asymmetric unit holds Pr at (0.0000, 0.0000, 0.2334), Pr at (0.0059, 0.5030, 0.2336), H at (0.0000, 0.0000, 0.5000), Pt at (0.0000, 0.5000, 0.5000), Br at (0.0000, 0.0000, 0.0000) and Br at (0.0000, 0.5000, 0.0000).

=====

4.
Compound: CrPbCl2
Source: Alexandria via LeMat-Bulk
Functional: PBE-GGA
Structure: optimized geometry

As for the formation energy from raw total energies: -0.352 eV/atom. For the total moment, the calculation gives 1.047 μB per atom. The calculation puts the offset from the most stable computed form at 0.705 eV/f.u.

The space group is Cmm2 (No. 35) and the conventional cell measures 5.1123, 5.1236 and 7.4830 Å, with angles of 90.00, 90.00 and 90.00 degrees. The asymmetric unit holds Cr at (0.0000, 0.0000, 0.0000), Pb at (0.0000, 0.5000, 0.6085), Cl at (0.0000, 0.0000, 0.3211) and Cl at (0.0000, 0.5000, 0.0041).

=====

5.
Compound: TbNdSm4
Source: Alexandria via LeMat-Bulk
Functional: PBE-GGA
Structure: optimized geometry

Its formation energy is 0.26 eV/atom. For the total moment, the calculation gives 0.000 μB per atom. The calculation puts the offset from the most stable computed form at 0.924 eV/f.u.

The space group is F-43m (No. 216) and the conventional cell measures 9.4364, 9.4364 and 9.4364 Å, with angles of 90.00, 90.00 and 90.00 degrees. The asymmetric unit holds Tb at (0.0000, 0.0000, 0.0000), Nd at (0.2500, 0.2500, 0.2500) and Sm at (0.1255, 0.1255, 0.6255).

=====

6.
Compound: LaSc2Si
Source: Alexandria via LeMat-Bulk
Functional: PBE-GGA
Structure: optimized geometry

As for the formation energy from raw total energies: -0.280 eV/atom. For the total moment, the calculation gives 0.000 μB per atom.

The space group is Amm2 (No. 38) and the conventional cell measures 4.4035, 4.1230 and 11.2779 Å, with angles of 90.00, 90.00 and 90.00 degrees. The asymmetric unit holds La at (0.0000, 0.0000, 0.0000), Sc at (0.0000, 0.0000, 0.2811), Sc at (0.5000, 0.0000, 0.7143) and Si at (0.5000, 0.0000, 0.4157).

=====

7.
Compound: CeTmMgRh
Source: Alexandria via LeMat-Bulk
Functional: PBE-GGA
Structure: optimized geometry

Its formation energy is -0.31 eV/atom. For the total moment, the calculation gives 0.150 μB per atom.

The space group is F-43m (No. 216) and the conventional cell measures 7.1560, 7.1560 and 7.1560 Å, with angles of 90.00, 90.00 and 90.00 degrees. The asymmetric unit holds Ce at (0.0000, 0.0000, 0.0000), Tm at (0.0000, 0.0000, 0.5000), Mg at (0.2500, 0.2500, 0.2500) and Rh at (0.2500, 0.2500, 0.7500).

=====

8.
Compound: La2Tc12P7
Source: Alexandria via LeMat-Bulk
Functional: PBE-GGA
Structure: optimized geometry

Its formation energy is -0.58 eV/atom. For the total moment, the calculation gives 0.000 μB per atom.

The space group is P-6 (No. 174) and the conventional cell measures 9.6623, 9.6623 and 3.9754 Å, with angles of 90.00, 90.00 and 120.00 degrees. The asymmetric unit holds La at (0.0000, 0.0000, 0.0000), La at (0.3333, 0.6667, 0.5000), Tc at (0.0633, 0.7646, 0.5000), Tc at (0.0988, 0.3757, 0.0000), Tc at (0.3967, 0.2158, 0.0000), Tc at (0.5471, 0.1187, 0.5000), P at (0.0665, 0.6091, 0.0000), P at (0.2712, 0.0572, 0.5000) and P at (0.6667, 0.3333, 0.0000).

=====

9.
Compound: Zn2IrN
Source: Alexandria via LeMat-Bulk
Functional: PBE-GGA
Structure: optimized geometry

As for the formation energy from raw total energies: 0.419 eV/atom. For the total moment, the calculation gives 0.000 μB per atom.

The space group is I-42d (No. 122) and the conventional cell measures 7.9426, 7.9426 and 3.7931 Å, with angles of 90.00, 90.00 and 90.00 degrees. The asymmetric unit holds Zn at (0.1405, 0.7500, 0.1250), Ir at (0.0000, 0.0000, 0.5000) and N at (0.0000, 0.0000, 0.0000).

=====

10.
Compound: RbTl2Te
Source: Alexandria via LeMat-Bulk
Functional: PBE-GGA
Structure: optimized geometry

As for the formation energy from raw total energies: -0.259 eV/atom. For the total moment, the calculation gives 0.000 μB per atom. The calculation puts the offset from the most stable computed form at 0.445 eV/f.u.

The space group is Fm-3m (No. 225) and the conventional cell measures 8.3517, 8.3517 and 8.3517 Å, with angles of 90.00, 90.00 and 90.00 degrees. The asymmetric unit holds Rb at (0.0000, 0.0000, 0.0000), Tl at (0.2500, 0.2500, 0.2500) and Te at (0.0000, 0.0000, 0.5000).

=====

11.
Compound: PmMgCdNi
Source: Alexandria via LeMat-Bulk
Functional: PBE-GGA
Structure: optimized geometry

Its formation energy is -0.17 eV/atom. For the total moment, the calculation gives 0.000 μB per atom.

The space group is F-43m (No. 216) and the conventional cell measures 6.9799, 6.9799 and 6.9799 Å, with angles of 90.00, 90.00 and 90.00 degrees. The asymmetric unit holds Pm at (0.0000, 0.0000, 0.0000), Mg at (0.0000, 0.0000, 0.5000), Cd at (0.2500, 0.2500, 0.7500) and Ni at (0.2500, 0.2500, 0.2500).

=====

12.
Compound: La6PdRuRh2
Source: Alexandria via LeMat-Bulk
Functional: PBE-GGA
Structure: optimized geometry

Its formation energy is -0.56 eV/atom. For the total moment, the calculation gives 0.000 μB per atom.

The space group is P1 (No. 1) and the conventional cell measures 7.2014, 7.2125 and 7.8396 Å, with angles of 90.08, 117.33 and 119.94 degrees. The asymmetric unit holds La at (0.0000, 0.0000, 0.0000), La at (0.0000, 0.1651, 0.5139), La at (0.3055, 0.6492, 0.9992), La at (0.3375, 0.8216, 0.5132), La at (0.6565, 0.3064, 0.9995), La at (0.6562, 0.4832, 0.5136), Pd at (0.8171, 0.7332, 0.2440), Ru at (0.8188, 0.2339, 0.7457), Rh at (0.4978, 0.0733, 0.2641) and Rh at (0.5048, 0.5772, 0.7744).

=====

Look up the total moment of the seventh one.
0.150 μB per atom